The following is a DFT calculation (SCAN) of LiLa2Rh at its PBEsol-relaxed geometry.

a = 4.1892 Å, b = 4.1892 Å, c = 7.0750 Å
α = 72.78°, β = 72.78°, γ = 60.00°
With the nearest neighbours (Å) after each atom.
Atoms (fractional coordinates):
La  0.7835  0.7835  0.6496  3 Rh 2.96, 3 Li 3.07
La  0.9692  0.9692  0.0923  3 Li 3.02, 3 Rh 3.14
Rh  0.2021  0.2021  0.3938  3 Li 2.43
Li  0.5453  0.5453  0.3642  3 Rh 2.43

Theoretical density, g cm⁻³: 6.37
Calculated volume, Å³/cell: 101.1
Space group: R3m (160)
Formation enthalpy at 0 K, eV per formula unit: -1.318